# 1
The following is a PBE calculation of PmGd3Ir after structural relaxation, from Alexandria.

Unit cell a=5.4915 b=5.4915 c=5.4915 alpha=90.00 beta=90.00 gamma=90.00
Space group Pm-3m (No. 221)
Inequivalent atoms, fractional coordinates:
Pm: 0.0000 0.0000 0.0000 x1
Gd: 0.0000 0.5000 0.5000 x3
Ir: 0.5000 0.5000 0.5000 x1

Properties
The value obtained for the total magnetization is 22.45 μB/f.u. Its calculated total energy is -11.434 eV/atom. For the mass density, the calculation gives 8.112 Mg/m³. The formation energy is -0.263 eV per atom.

# 2
The following is a PBE calculation of ZrCl after structural relaxation, from Alexandria.

Unit cell a=5.3455 b=5.3455 c=5.3253 alpha=90.00 beta=90.00 gamma=90.00
Space group P4_2/mnm (No. 136)
Inequivalent atoms, fractional coordinates:
Zr: 0.2004 0.2004 0.0000 x4
Cl: 0.2084 0.2084 0.5000 x4

Properties
The value obtained for the total magnetization is 0.00 μB/f.u. Its calculated total energy is -5.497 eV/atom. For the mass density, the calculation gives 5.530 Mg/m³. For the uncorrected formation energy, the calculation gives -299.1 meV/atom.

# 3
The following is a PBE calculation of Tc2Os after structural relaxation, from Alexandria.

Unit cell a=4.3152 b=4.3152 c=2.7196 alpha=90.00 beta=90.00 gamma=120.00
Space group P6/mmm (No. 191)
Inequivalent atoms, fractional coordinates:
Tc: 0.3333 0.6667 0.0000 x2
Os: 0.0000 0.0000 0.5000 x1

Properties
The value obtained for the total magnetization is 0.00 μB/f.u. Its calculated total energy is -10.569 eV/atom. For the mass density, the calculation gives 14.624 Mg/m³. As for the excess energy over the best structure of this formula in the dataset: 149 meV/atom. The formation energy is 0.085 eV per atom.

# 4
The following is a PBE calculation of Zr2SbBr after structural relaxation, from Alexandria.

Unit cell a=7.0362 b=7.0362 c=7.0362 alpha=90.00 beta=90.00 gamma=90.00
Space group Fm-3m (No. 225)
Inequivalent atoms, fractional coordinates:
Zr: 0.2500 0.2500 0.2500 x8
Sb: 0.0000 0.0000 0.0000 x4
Br: 0.0000 0.0000 0.5000 x4

Properties
The value obtained for the total magnetization is 0.00 μB/f.u. Its calculated total energy is -6.244 eV/atom. For the mass density, the calculation gives 7.324 Mg/m³. As for the excess energy over the best structure of this formula in the dataset: 37 meV/atom. For the uncorrected formation energy, the calculation gives -521.2 meV/atom.

# 5
The following is a PBE calculation of LaInW2 after structural relaxation, from Alexandria.

Unit cell a=4.3020 b=4.3020 c=9.2076 alpha=90.00 beta=90.00 gamma=90.00
Space group I4/mmm (No. 139)
Inequivalent atoms, fractional coordinates:
La: 0.0000 0.0000 0.0000 x2
In: 0.0000 0.0000 0.5000 x2
W: 0.0000 0.5000 0.2500 x4

Properties
The value obtained for the total magnetization is 0.00 μB/f.u. Its calculated total energy is -7.444 eV/atom. For the mass density, the calculation gives 12.111 Mg/m³. The formation energy is 0.949 eV per atom.

# 6
The following is a PBE calculation of Ba5As2PI after structural relaxation, from Alexandria.

Unit cell a=5.8326 b=8.3122 c=16.7434 alpha=90.00 beta=90.00 gamma=90.00
Space group Immm (No. 71)
Inequivalent atoms, fractional coordinates:
Ba: 0.0000 0.0000 0.0000 x2
Ba: 0.0000 0.2704 0.3471 x8
As: 0.0000 0.0000 0.2024 x4
P: 0.0000 0.5000 0.5000 x2
I: 0.0000 0.5000 0.0000 x2

Properties
The value obtained for the total magnetization is 0.00 μB/f.u. Its calculated total energy is -3.944 eV/atom. For the mass density, the calculation gives 4.068 Mg/m³. For the uncorrected formation energy, the calculation gives -1069.1 meV/atom.

Copy entry 6 word for word.
The following is a PBE calculation of Ba5As2PI after structural relaxation, from Alexandria.

Unit cell a=5.8326 b=8.3122 c=16.7434 alpha=90.00 beta=90.00 gamma=90.00
Space group Immm (No. 71)
Inequivalent atoms, fractional coordinates:
Ba: 0.0000 0.0000 0.0000 x2
Ba: 0.0000 0.2704 0.3471 x8
As: 0.0000 0.0000 0.2024 x4
P: 0.0000 0.5000 0.5000 x2
I: 0.0000 0.5000 0.0000 x2

Properties
The value obtained for the total magnetization is 0.00 μB/f.u. Its calculated total energy is -3.944 eV/atom. For the mass density, the calculation gives 4.068 Mg/m³. For the uncorrected formation energy, the calculation gives -1069.1 meV/atom.